Version P
A plane-wave DFT calculation with PBE-GGA was carried out for a geometry-optimized NiSbRh3 structure.

abc: 4.493 4.493 4.493
angles: 90.00 90.00 90.00
Fractional coordinates of all 5 atoms:
Ni1 0.000 0.000 0.000
Sb1 0.500 0.500 0.500
Rh1 0.000 0.000 0.500
Rh2 0.000 0.500 0.000
Rh3 0.500 0.000 0.000

**Volume**: 18.14 Å³ per atom
**Space-group type**: Pm-3m, No. 221
**Theoretical density**: 9.0 g/cm³

=====

Version Q
A plane-wave DFT calculation with PBE-GGA was carried out for a geometry-optimized NiSbRh3 structure.

abc: 4.796 4.796 4.796
angles: 90.00 90.00 90.00
Fractional coordinates of all 5 atoms:
Ni1 0.000 0.000 0.000
Sb1 0.500 0.500 0.500
Rh1 0.000 0.500 0.500
Rh2 0.500 0.000 0.500
Rh3 0.500 0.500 0.000

**Volume**: 22.07 Å³ per atom
**Space-group type**: Pm-3m, No. 221
**Theoretical density**: 7.4 g/cm³

=====

Best to worst by energy: version P, version Q.